(1)
A plane-wave DFT calculation with PBE-GGA was carried out for an optimized crystal structure of TlHg2SbH.

abc: 5.869 5.869 3.794
angles: 90.00 90.00 90.00
Positions (direct):
H: 0.000 0.000 0.500
Sb: 0.000 0.000 0.000
Tl: 0.500 0.500 0.500
Hg: 0.500 0.000 0.000
Hg: 0.000 0.500 0.000

Polymorph energy (0 for the lowest one): 0.0 kJ/mol of atoms
DOS at the Fermi energy: 1.5 states/eV/f.u.
SG: P4/mmm, No. 123

***

(2)
A plane-wave DFT calculation with PBE-GGA was carried out for an optimized crystal structure of TlHg2SbH.

abc: 5.782 3.783 5.782
angles: 90.00 90.00 90.00
Positions (direct):
Tl: 0.000 0.000 0.000
Hg: 0.000 0.000 0.500
Sb: 0.500 0.500 0.500
Hg: 0.500 0.000 0.000
H: 0.000 0.500 0.000

Polymorph energy (0 for the lowest one): 22.2 kJ/mol of atoms
DOS at the Fermi energy: 2.9 states/eV/f.u.
SG: P4/mmm, No. 123

***

(3)
A plane-wave DFT calculation with PBE-GGA was carried out for an optimized crystal structure of YHgSbH2.

abc: 4.132 6.426 4.132
angles: 90.00 90.00 90.00
Positions (direct):
H: 0.000 0.000 0.500
Hg: 0.000 0.000 0.000
Y: 0.500 0.500 0.500
H: 0.500 0.000 0.000
Sb: 0.000 0.500 0.000

VASP energy: -3.43 eV/atom
DOS at the Fermi energy: 0.7 states/eV/f.u.
SG: P4/mmm, No. 123

***

(4)
A plane-wave DFT calculation with PBE-GGA was carried out for an optimized crystal structure of YHgSb2H.

abc: 5.032 4.253 5.032
angles: 90.00 90.00 90.00
Positions (direct):
Sb: 0.000 0.000 0.500
Y: 0.000 0.500 0.000
H: 0.000 0.000 0.000
Sb: 0.500 0.000 0.000
Hg: 0.500 0.500 0.500

VASP energy: -3.82 eV/atom
DOS at the Fermi energy: 2.9 states/eV/f.u.
SG: P4/mmm, No. 123

***

(5)
A plane-wave DFT calculation with PBE-GGA was carried out for an optimized crystal structure of ScHgH2.

abc: 4.098 4.098 4.098
angles: 60.00 60.00 60.00
Positions (direct):
H: 0.250 0.250 0.250
H: 0.750 0.750 0.750
Hg: 0.500 0.500 0.500
Sc: 0.000 0.000 0.000

Polymorph energy (0 for the lowest one): 21.1 kJ/mol of atoms
DOS at the Fermi energy: 1.8 states/eV/f.u.
SG: Fm-3m, No. 225

***

(6)
A plane-wave DFT calculation with PBE-GGA was carried out for an optimized crystal structure of ScHgH.

abc: 3.438 3.438 4.750
angles: 90.00 90.00 120.00
Positions (direct):
H: 0.333 0.667 0.501
Hg: 0.000 0.000 0.000
Sc: 0.667 0.333 0.500

Polymorph energy (0 for the lowest one): 13.4 kJ/mol of atoms
DOS at the Fermi energy: 2.3 states/eV/f.u.
SG: P3m1, No. 156

***

(7)
A plane-wave DFT calculation with PBE-GGA was carried out for an optimized crystal structure of Sc2Hg2H.

abc: 6.265 6.265 4.970
angles: 90.00 90.00 90.00
Positions (direct):
H: 0.000 0.000 0.000
Hg: 0.340 0.160 0.500
Hg: 0.660 0.840 0.500
Sc: 0.830 0.670 0.000
Sc: 0.170 0.330 0.000
H: 0.500 0.500 0.000
Hg: 0.840 0.340 0.500
Sc: 0.330 0.830 0.000
Sc: 0.670 0.170 0.000
Hg: 0.160 0.660 0.500

VASP energy: -3.56 eV/atom
DOS at the Fermi energy: 3.1 states/eV/f.u.
SG: P4/mbm, No. 127

***

(8)
A plane-wave DFT calculation with PBE-GGA was carried out for an optimized crystal structure of ScHgH.

abc: 3.482 3.482 7.546
angles: 90.00 90.00 90.00
Positions (direct):
Hg: 0.814 0.866 0.541
Sc: 0.314 0.366 0.772
Hg: 0.314 0.367 0.298
Sc: 0.814 0.866 0.067
H: 0.814 0.367 0.920
H: 0.314 0.866 0.920

Polymorph energy (0 for the lowest one): 0.0 kJ/mol of atoms
DOS at the Fermi energy: 1.0 states/eV/f.u.
SG: P4/nmm, No. 129

***

(9)
A plane-wave DFT calculation with PBE-GGA was carried out for an optimized crystal structure of ScHg2H.

abc: 9.135 9.135 6.732
angles: 47.28 47.28 90.00
Positions (direct):
Hg: 0.375 0.497 0.750
Sc: 0.750 0.250 0.500
H: 0.250 0.750 0.500
Hg: 0.503 0.125 0.250
Hg: 0.875 0.753 0.750
H: 0.500 0.500 0.000
Hg: 0.247 0.625 0.250
Sc: 0.000 0.000 0.000

Polymorph energy (0 for the lowest one): 0.0 kJ/mol of atoms
DOS at the Fermi energy: 2.3 states/eV/f.u.
SG: I-42d, No. 122

***

(10)
A plane-wave DFT calculation with PBE-GGA was carried out for an optimized crystal structure of Sc3HgH.

abc: 3.373 7.576 7.576
angles: 74.84 90.00 90.00
Positions (direct):
Hg: 0.863 0.194 0.246
Sc: 0.363 0.406 0.459
H: 0.363 0.694 0.247
H: 0.363 0.194 0.746
Sc: 0.363 0.982 0.034
Hg: 0.363 0.694 0.747
Sc: 0.863 0.780 0.406
Sc: 0.863 0.354 0.832
Sc: 0.863 0.035 0.661
Sc: 0.863 0.608 0.087

Polymorph energy (0 for the lowest one): 7.2 kJ/mol of atoms
DOS at the Fermi energy: 5.8 states/eV/f.u.
SG: Cmmm, No. 65

***

(11)
A plane-wave DFT calculation with PBE-GGA was carried out for an optimized crystal structure of ScHgH2.

abc: 4.567 4.567 6.348
angles: 68.92 68.92 90.00
Positions (direct):
H: 0.494 0.125 0.250
Sc: 0.500 0.500 0.000
H: 0.375 0.506 0.750
H: 0.256 0.625 0.250
Hg: 0.750 0.250 0.500
Sc: 0.250 0.750 0.500
Hg: 0.000 0.000 0.000
H: 0.875 0.744 0.750

Polymorph energy (0 for the lowest one): 0.0 kJ/mol of atoms
DOS at the Fermi energy: 1.6 states/eV/f.u.
SG: I-42d, No. 122

***

(12)
A plane-wave DFT calculation with PBE-GGA was carried out for an optimized crystal structure of Sc3HgH.

abc: 4.467 4.467 4.467
angles: 90.00 90.00 90.00
Site moments in Bohr magnetons follow the coordinates.
Positions (direct):
H: 0.000 0.000 0.000  -0.01
Sc: 0.000 0.000 0.500  0.35
Hg: 0.500 0.500 0.500  0.00
Sc: 0.500 0.000 0.000  0.41
Sc: 0.000 0.500 0.000  0.48

Polymorph energy (0 for the lowest one): 0.0 kJ/mol of atoms
DOS at the Fermi energy: 4.2 states/eV/f.u.
SG: Pm-3m, No. 221

***

(13)
A plane-wave DFT calculation with PBE-GGA was carried out for an optimized crystal structure of ScHg3H.

abc: 4.558 4.558 4.558
angles: 90.00 90.00 90.00
Positions (direct):
Hg: 0.500 0.000 0.000
Hg: 0.000 0.000 0.500
Hg: 0.000 0.500 0.000
Sc: 0.500 0.500 0.500
H: 0.000 0.000 0.000

VASP energy: -1.90 eV/atom
DOS at the Fermi energy: 4.5 states/eV/f.u.
SG: Pm-3m, No. 221

***

(14)
A plane-wave DFT calculation with PBE-GGA was carried out for an optimized crystal structure of Sc12Hg3H5.

abc: 12.459 12.459 12.459
angles: 109.47 109.47 109.47
Positions (direct):
Sc: 0.492 0.797 0.895
Hg: 0.125 0.250 0.875
Sc: 0.694 0.203 0.598
Sc: 0.992 0.395 0.297
Sc: 0.395 0.403 0.098
Hg: 0.875 0.125 0.250
Sc: 0.395 0.992 0.797
H: 0.250 0.875 0.125
Sc: 0.203 0.694 0.098
Sc: 0.098 0.903 0.395
Sc: 0.597 0.605 0.402
H: 0.000 0.000 0.500
H: 0.875 0.625 0.750
Sc: 0.403 0.008 0.306
H: 0.500 0.000 0.500
Hg: 0.750 0.375 0.125
H: 0.875 0.250 0.625
Sc: 0.694 0.492 0.597
Sc: 0.097 0.902 0.105
H: 0.125 0.375 0.250
H: 0.375 0.125 0.750
Sc: 0.105 0.703 0.508
Sc: 0.508 0.306 0.903
Sc: 0.306 0.797 0.402
Sc: 0.895 0.297 0.492
Hg: 0.250 0.125 0.375
Sc: 0.902 0.806 0.797
Sc: 0.008 0.605 0.703
Sc: 0.008 0.403 0.806
Sc: 0.403 0.395 0.598
H: 0.750 0.625 0.375
H: 0.750 0.125 0.875
Sc: 0.098 0.194 0.203
H: 0.000 0.500 0.500
H: 0.625 0.750 0.875
Sc: 0.903 0.098 0.895
Hg: 0.375 0.750 0.625
H: 0.500 0.500 0.000
Hg: 0.125 0.875 0.750
Sc: 0.203 0.508 0.605
Sc: 0.895 0.598 0.903
Sc: 0.903 0.806 0.508
Sc: 0.797 0.306 0.902
Sc: 0.703 0.598 0.194
H: 0.000 0.500 0.000
H: 0.375 0.250 0.125
Sc: 0.992 0.597 0.194
Sc: 0.097 0.194 0.492
Sc: 0.492 0.694 0.097
Sc: 0.508 0.203 0.105
Sc: 0.605 0.008 0.203
Sc: 0.902 0.097 0.605
Sc: 0.598 0.703 0.694
Sc: 0.605 0.597 0.902
Hg: 0.625 0.375 0.750
H: 0.125 0.750 0.375
Sc: 0.806 0.903 0.008
Sc: 0.402 0.297 0.306
H: 0.500 0.500 0.500
Sc: 0.597 0.992 0.694
Sc: 0.105 0.402 0.097
Sc: 0.194 0.098 0.703
Hg: 0.625 0.250 0.375
Hg: 0.250 0.625 0.875
Sc: 0.797 0.492 0.395
Sc: 0.297 0.402 0.806
Hg: 0.750 0.875 0.625
Sc: 0.297 0.895 0.992
Sc: 0.306 0.508 0.403
H: 0.625 0.875 0.250
Sc: 0.703 0.105 0.008
H: 0.250 0.375 0.625
H: 0.000 0.000 0.000
Sc: 0.598 0.895 0.403
Hg: 0.875 0.750 0.125
Sc: 0.806 0.902 0.297
H: 0.500 0.000 0.000
Sc: 0.402 0.105 0.597
Sc: 0.194 0.097 0.992
Hg: 0.375 0.625 0.250

VASP energy: -4.93 eV/atom
DOS at the Fermi energy: 19.1 states/eV/f.u.
SG: Ia-3d, No. 230

***

(15)
A plane-wave DFT calculation with PBE-GGA was carried out for an optimized crystal structure of ScHg2H.

abc: 4.763 4.763 4.763
angles: 60.00 60.00 60.00
Positions (direct):
H: 0.000 0.000 0.000
Sc: 0.500 0.500 0.500
Hg: 0.750 0.750 0.750
Hg: 0.250 0.250 0.250

Polymorph energy (0 for the lowest one): 35.0 kJ/mol of atoms
DOS at the Fermi energy: 3.8 states/eV/f.u.
SG: Fm-3m, No. 225

***

(16)
A plane-wave DFT calculation with PBE-GGA was carried out for an optimized crystal structure of ScHg2HSe.

abc: 5.899 5.002 5.899
angles: 90.00 90.00 90.00
Site moments in Bohr magnetons follow the coordinates.
Positions (direct):
Hg: 0.000 0.000 0.500  0.00
H: 0.500 0.500 0.500  0.36
Se: 0.000 0.500 0.000  0.02
Sc: 0.000 0.000 0.000  -0.20
Hg: 0.500 0.000 0.000  -0.03

VASP energy: -2.58 eV/atom
DOS at the Fermi energy: 2.4 states/eV/f.u.
SG: P4/mmm, No. 123

***

(17)
A plane-wave DFT calculation with PBE-GGA was carried out for an optimized crystal structure of Sc2TlHgH.

abc: 4.502 4.502 4.491
angles: 90.00 90.00 90.00
Site moments in Bohr magnetons follow the coordinates.
Positions (direct):
Tl: 0.500 0.500 0.500  -0.01
H: 0.000 0.000 0.000  -0.01
Sc: 0.500 0.000 0.000  0.41
Sc: 0.000 0.500 0.000  0.41
Hg: 0.000 0.000 0.500  0.00

VASP energy: -3.97 eV/atom
DOS at the Fermi energy: 2.1 states/eV/f.u.
SG: P4/mmm, No. 123

***

(18)
A plane-wave DFT calculation with PBE-GGA was carried out for an optimized crystal structure of Sc2ZnHgH.

abc: 4.471 4.471 4.080
angles: 90.00 90.00 90.00
Site moments in Bohr magnetons follow the coordinates.
Positions (direct):
Sc: 0.500 0.000 0.000  0.30
Sc: 0.000 0.500 0.000  0.30
Hg: 0.500 0.500 0.500  0.01
H: 0.000 0.000 0.000  0.00
Zn: 0.000 0.000 0.500  0.01

VASP energy: -3.84 eV/atom
DOS at the Fermi energy: 3.7 states/eV/f.u.
SG: P4/mmm, No. 123

***

(19)
A plane-wave DFT calculation with PBE-GGA was carried out for an optimized crystal structure of Hg3H4Se2.

abc: 13.759 7.524 7.524
angles: 61.45 53.22 53.22
Positions (direct):
Se: 0.854 0.605 0.883
Hg: 0.501 0.232 0.004
H: 0.496 0.243 0.490
H: 0.341 0.679 0.777
H: 0.841 0.777 0.679
Hg: 0.999 0.996 0.768
Se: 0.354 0.883 0.605
H: 0.504 0.757 0.510
H: 0.659 0.321 0.223
H: 0.159 0.223 0.321
Hg: 0.250 0.604 0.396
H: 0.996 0.490 0.243
Hg: 0.499 0.768 0.996
Se: 0.646 0.117 0.395
H: 0.004 0.510 0.757
Hg: 0.001 0.004 0.232
Se: 0.146 0.395 0.117
Hg: 0.750 0.396 0.604

VASP energy: -2.34 eV/atom
DOS at the Fermi energy: 0.0 states/eV/f.u.
SG: C2/c, No. 15

***

(20)
A plane-wave DFT calculation with PBE-GGA was carried out for an optimized crystal structure of Hg5H2Se4.

abc: 7.403 7.403 7.764
angles: 114.12 96.14 117.34
Positions (direct):
Se: 0.798 0.631 0.429
Hg: 0.123 0.261 0.872
Hg: 0.611 0.749 0.872
H: 0.110 0.516 0.627
Se: 0.704 0.151 0.856
Hg: 0.389 0.251 0.128
Hg: 0.500 0.000 0.500
Se: 0.296 0.849 0.144
H: 0.890 0.484 0.373
Hg: 0.877 0.739 0.128
Se: 0.202 0.369 0.571

VASP energy: -2.09 eV/atom
SG: C2/m, No. 12

***

(21)
A plane-wave DFT calculation with PBE-GGA was carried out for an optimized crystal structure of HgHSe2.

abc: 10.425 10.425 10.425
angles: 16.58 16.58 16.58
Positions (direct):
Hg: 0.500 0.500 0.500
Se: 0.058 0.058 0.058
Se: 0.942 0.942 0.942
H: 0.000 0.000 0.000

Polymorph energy (0 for the lowest one): 24.1 kJ/mol of atoms
DOS at the Fermi energy: 1.6 states/eV/f.u.
SG: R-3m, No. 166

***

(22)
A plane-wave DFT calculation with PBE-GGA was carried out for an optimized crystal structure of Hg3HSe.

abc: 6.675 11.691 14.436
angles: 26.74 90.00 90.00
Positions (direct):
Hg: 0.833 0.371 0.710
H: 0.636 0.121 0.459
Hg: 0.379 0.899 0.257
Hg: 0.879 0.101 0.243
Hg: 0.854 0.652 0.708
Se: 0.703 0.785 0.821
Se: 0.203 0.215 0.679
Hg: 0.121 0.899 0.757
Hg: 0.667 0.371 0.210
Hg: 0.646 0.652 0.208
Se: 0.797 0.785 0.321
Hg: 0.333 0.629 0.790
Hg: 0.354 0.348 0.792
H: 0.364 0.879 0.541
H: 0.864 0.121 0.959
Hg: 0.146 0.348 0.292
Se: 0.297 0.215 0.179
H: 0.136 0.879 0.041
Hg: 0.621 0.101 0.743
Hg: 0.167 0.629 0.290

Polymorph energy (0 for the lowest one): 0.0 kJ/mol of atoms
DOS at the Fermi energy: 1.5 states/eV/f.u.
SG: P2_1/c, No. 14